Here is crystalline NaHgTe at its relaxed geometry from Alexandria. Energies are from PBE-GGA.

Cell: 4.194 4.194 9.591 Å, 90.00 90.00 90.00°
Space group I4mm (No. 107)
One atom of each set of equivalent atoms:
1 Na 0.000 0.000 0.000 x2
2 Hg 0.000 0.000 0.321 x2
3 Te 0.000 0.000 0.664 x2

Values from the calculation:
Fermi-level density of states	0.7975	states/eV/atom
E above lowest polymorph	0.135	eV/f.u.
energy relative to the elements, uncorrected	-330	meV per atom
crystal system	tetragonal
volume	169	Å³ per cell
VASP energy	-11.5	eV/cell

Here is crystalline Na2HgTe at its relaxed geometry from Alexandria. Energies are from PBE-GGA.

Cell: 5.545 5.545 11.340 Å, 90.00 90.00 90.00°
Space group I4/mmm (No. 139)
One atom of each set of equivalent atoms:
1 Na 0.000 0.000 0.249 x4
2 Hg 0.000 0.000 0.500 x2
3 Te 0.000 0.000 0.000 x2

Values from the calculation:
Fermi-level density of states	0.3027	states/eV/atom
E above lowest polymorph	2.304	eV/f.u.
energy relative to the elements, uncorrected	-80	meV per atom
crystal system	tetragonal
volume	349	Å³ per cell
VASP energy	-12.8	eV/cell

Here is crystalline Na2HgTe2 at its relaxed geometry from Alexandria. Energies are from PBE-GGA.

Cell: 5.975 5.975 9.819 Å, 90.00 90.00 90.00°
Space group I4/mmm (No. 139)
One atom of each set of equivalent atoms:
1 Na 0.000 0.500 0.250 x4
2 Hg 0.000 0.000 0.000 x2
3 Te 0.000 0.000 0.357 x4

Values from the calculation:
Fermi-level density of states	0.0000	states/eV/atom
E above lowest polymorph	0.341	eV/f.u.
energy relative to the elements, uncorrected	-526	meV per atom
crystal system	tetragonal
volume	351	Å³ per cell
VASP energy	-23.7	eV/cell

Results for magnetization: 0.0; 0.0; 0.0 (in Bohr magnetons per cell, following the order of the records).